1.
Here is a geometry-optimized KAl2GaCl8 structure from Alexandria. Energies are from GGA-PBE.

- Density of states at the Fermi level: 0.0 states/eV/f.u.
- Formation energy without anion corrections: -1.52 eV/atom
- M_tot: 0.0 μB per cell

abc: 10.2399 10.2399 10.2399
angles: 38.20 38.20 38.20
Last column: nearest neighbours and their distance in Å.
Fractional coordinates of all 12 atoms:
K: 0.0000 0.0000 0.0000  12 Cl 3.62-3.87
Al: 0.2553 0.2553 0.2553  4 Cl 2.15-2.16
Al: 0.7447 0.7447 0.7447  4 Cl 2.15-2.16
Ga: 0.5000 0.5000 0.5000  6 Cl 3.12
Cl: 0.0535 0.4456 0.8081  1 Al 2.16
Cl: 0.1919 0.9465 0.5544  1 Al 2.16
Cl: 0.3309 0.3309 0.3309  1 Al 2.15
Cl: 0.4456 0.8081 0.0535  1 Al 2.16
Cl: 0.5544 0.1919 0.9465  1 Al 2.16
Cl: 0.6691 0.6691 0.6691  1 Al 2.15
Cl: 0.8081 0.0535 0.4456  1 Al 2.16
Cl: 0.9465 0.5544 0.1919  1 Al 2.16

2.
Here is a geometry-optimized YMgSn2 structure from Alexandria. Energies are from GGA-PBE.

- Density of states at the Fermi level: 3.1 states/eV/f.u.
- Energy relative to the elements: -235 meV per atom
- M_tot: 0.0 μB per cell

abc: 6.6114 6.6114 6.6114
angles: 103.88 103.88 121.34
Last column: nearest neighbours and their distance in Å.
Fractional coordinates of all 8 atoms:
Y: 0.0000 0.0000 0.0000  4 Sn 3.15, 2 Mg 3.24
Y: 0.7500 0.2500 0.5000  4 Sn 3.15, 2 Mg 3.24
Mg: 0.2500 0.7500 0.5000  4 Sn 2.85
Mg: 0.5000 0.5000 0.0000  4 Sn 2.85
Sn: 0.1523 0.6250 0.0273  2 Mg 2.85, 2 Y 3.15
Sn: 0.3750 0.4023 0.5273  2 Mg 2.85, 2 Y 3.15
Sn: 0.5977 0.1250 0.9727  2 Mg 2.85, 2 Y 3.15
Sn: 0.8750 0.8477 0.4727  2 Mg 2.85, 2 Y 3.15

3.
Here is a geometry-optimized Dy2BeGe structure from Alexandria. Energies are from GGA-PBE.

- Density of states at the Fermi level: 5.3 states/eV/f.u.
- Energy relative to the elements: 469 meV per atom
- M_tot: 0.0 μB per cell

abc: 9.1907 9.1907 9.1907
angles: 25.90 25.90 25.90
Last column: nearest neighbours and their distance in Å.
Fractional coordinates of all 4 atoms:
Dy: 0.1097 0.1097 0.1097  3 Ge 2.82, 1 Be 2.92
Dy: 0.8903 0.8903 0.8903  3 Ge 2.82, 1 Be 2.92
Be: 0.0000 0.0000 0.0000  2 Dy 2.92
Ge: 0.5000 0.5000 0.5000  6 Dy 2.82

4.
Here is a geometry-optimized BeP2SO structure from Alexandria. Energies are from GGA-PBE.

- Density of states at the Fermi level: 2.7 states/eV/f.u.
- Polymorph energy (0 for the lowest one): 821 meV/atom
- Formation energy without anion corrections: 0.95 eV/atom
- M_tot: 0.8 μB per cell

abc: 4.2522 4.2522 3.9790
angles: 90.00 90.00 90.00
Last column: nearest neighbours and their distance in Å.
Fractional coordinates of all 5 atoms:
Be: 0.0000 0.0000 0.0000  2 S 1.99, 4 P 2.13
P: 0.0000 0.5000 0.0000  2 Be 2.13
P: 0.5000 0.0000 0.0000  2 Be 2.13
S: 0.0000 0.0000 0.5000  2 Be 1.99
O: 0.5000 0.5000 0.5000  8 P 2.91, 4 S 3.01

5.
Here is a geometry-optimized SiRu2Cl structure from Alexandria. Energies are from GGA-PBE.

- Density of states at the Fermi level: 3.5 states/eV/f.u.
- Polymorph energy (0 for the lowest one): 108 meV/atom
- Formation energy without anion corrections: 0.05 eV/atom
- M_tot: 0.0 μB per cell

abc: 7.9479 7.9479 7.9479
angles: 21.07 21.07 21.07
Last column: nearest neighbours and their distance in Å.
Fractional coordinates of all 4 atoms:
Si: 0.0000 0.0000 0.0000  6 Ru 2.48
Ru: 0.2552 0.2552 0.2552  3 Si 2.48, 3 Cl 2.66
Ru: 0.7448 0.7448 0.7448  3 Si 2.48, 3 Cl 2.66
Cl: 0.5000 0.5000 0.5000  6 Ru 2.66, 6 Cl 2.91

6.
Here is a geometry-optimized P2S4Cl structure from Alexandria. Energies are from GGA-PBE.

- Density of states at the Fermi level: 2.8 states/eV/f.u.
- Formation energy without anion corrections: 0.26 eV/atom
- M_tot: 0.0 μB per cell

abc: 7.2137 7.2137 6.8573
angles: 117.92 117.92 77.15
Last column: nearest neighbours and their distance in Å.
Fractional coordinates of all 14 atoms:
P: 0.0000 0.0000 0.0000  6 S 2.37-2.55
P: 0.0000 0.0000 0.5000  6 S 2.37-2.55
P: 0.0000 0.5000 0.0000  6 S 2.46-2.53
P: 0.5000 0.0000 0.5000  6 S 2.46-2.53
S: 0.1660 0.1953 0.4279  3 P 2.37-2.46
S: 0.1953 0.1660 0.9279  3 P 2.37-2.46
S: 0.2743 0.7245 0.4100  1 S 2.20, 1 Cl 2.40
S: 0.2755 0.7257 0.0900  1 S 2.20, 1 Cl 2.40
S: 0.7245 0.2743 0.9100  1 S 2.20, 1 Cl 2.40
S: 0.7257 0.2755 0.5900  1 S 2.20, 1 Cl 2.40
S: 0.8047 0.8340 0.0721  3 P 2.37-2.46
S: 0.8340 0.8047 0.5721  3 P 2.37-2.46
Cl: 0.3381 0.6619 0.7500  2 S 2.40
Cl: 0.6619 0.3381 0.2500  2 S 2.40

7.
Here is a geometry-optimized Na2AlReO6 structure from Alexandria. Energies are from GGA-PBE.

- Formation energy without anion corrections: -2.02 eV/atom
- M_tot: 0.0 μB per cell

abc: 5.3176 5.3370 9.2307
angles: 90.00 125.17 90.00
Last column: nearest neighbours and their distance in Å.
Fractional coordinates of all 20 atoms:
Na: 0.2482 0.0136 0.2501  8 O 2.43-2.66
Na: 0.2482 0.4864 0.7501  8 O 2.43-2.66
Na: 0.7518 0.5136 0.2499  8 O 2.43-2.66
Na: 0.7518 0.9864 0.7499  8 O 2.43-2.66
Al: 0.5000 0.0000 0.0000  6 O 1.91
Al: 0.5000 0.5000 0.5000  6 O 1.91
Re: 0.0000 0.0000 0.5000  6 O 1.89
Re: 0.0000 0.5000 0.0000  6 O 1.89
O: 0.1984 0.2238 0.9770  1 Re 1.89, 1 Al 1.91
O: 0.1984 0.2762 0.4770  1 Re 1.89, 1 Al 1.91
O: 0.2536 0.7219 0.9774  1 Re 1.89, 1 Al 1.91
O: 0.2536 0.7781 0.4774  1 Re 1.89, 1 Al 1.91
O: 0.2942 0.0052 0.7490  1 Re 1.89, 1 Al 1.91
O: 0.2942 0.4948 0.2490  1 Re 1.89, 1 Al 1.91
O: 0.7058 0.5052 0.7510  1 Re 1.89, 1 Al 1.91
O: 0.7058 0.9948 0.2510  1 Re 1.89, 1 Al 1.91
O: 0.7464 0.2219 0.5226  1 Re 1.89, 1 Al 1.91
O: 0.7464 0.2781 0.0226  1 Re 1.89, 1 Al 1.91
O: 0.8016 0.7238 0.5230  1 Re 1.89, 1 Al 1.91
O: 0.8016 0.7762 0.0230  1 Re 1.89, 1 Al 1.91

8.
Here is a geometry-optimized Nd3TmTl4Te8 structure from Alexandria. Energies are from GGA-PBE.

- Formation energy without anion corrections: -1.06 eV/atom
- M_tot: 0.0 μB per cell

abc: 9.7144 9.7144 9.7144
angles: 55.60 55.60 55.60
Last column: nearest neighbours and their distance in Å.
Fractional coordinates of all 16 atoms:
Nd: 0.0000 0.5000 0.5000  6 Te 3.18-3.19
Nd: 0.5000 0.0000 0.5000  6 Te 3.18-3.19
Nd: 0.5000 0.5000 0.0000  6 Te 3.18-3.19
Tm: 0.0000 0.0000 0.0000  6 Te 3.10
Tl: 0.0000 0.0000 0.5000  6 Te 3.47
Tl: 0.0000 0.5000 0.0000  6 Te 3.47
Tl: 0.5000 0.0000 0.0000  6 Te 3.47
Tl: 0.5000 0.5000 0.5000  6 Te 3.55
Te: 0.2340 0.2340 0.7485  1 Tm 3.10, 2 Nd 3.19
Te: 0.2340 0.7485 0.2340  1 Tm 3.10, 2 Nd 3.19
Te: 0.2515 0.7660 0.7660  1 Tm 3.10, 2 Nd 3.19
Te: 0.2594 0.2594 0.2594  3 Nd 3.18, 3 Tl 3.47
Te: 0.7406 0.7406 0.7406  3 Nd 3.18, 3 Tl 3.47
Te: 0.7485 0.2340 0.2340  1 Tm 3.10, 2 Nd 3.19
Te: 0.7660 0.2515 0.7660  1 Tm 3.10, 2 Nd 3.19
Te: 0.7660 0.7660 0.2515  1 Tm 3.10, 2 Nd 3.19

Question: The highest M_tot belongs to which entry?
Answer: BeP2SO